# 1
# LiPtI

A relaxed structure of LiPtI (GGA-PBE, the Alexandria database).

```
LiPtI
1.0
4.535 -1.921 0.000
4.535 1.921 0.000
-0.001 0.000 9.291
Li Pt I
2 2 2
direct
0.070 0.070 0.147 Li
0.930 0.930 0.853 Li
0.216 0.216 0.909 Pt
0.784 0.784 0.091 Pt
0.354 0.354 0.288 I
0.646 0.646 0.712 I
```

Space group: No. 12
Energy relative to the lowest polymorph listed for this composition: 35.1 meV per atom

# 2
# Ho6Tc2Sn

A relaxed structure of Ho6Tc2Sn (GGA-PBE, the Alexandria database).

```
Ho6Tc2Sn
1.0
-4.710 4.756 5.226
4.710 -4.756 5.226
4.710 4.756 -5.226
Ho Tc Sn
12 4 2
direct
0.037 0.245 0.792 Ho
0.186 0.280 0.467 Ho
0.186 0.720 0.906 Ho
0.334 0.020 0.686 Ho
0.334 0.648 0.314 Ho
0.452 0.245 0.208 Ho
0.548 0.755 0.792 Ho
0.666 0.352 0.686 Ho
0.666 0.980 0.314 Ho
0.814 0.280 0.094 Ho
0.814 0.720 0.533 Ho
0.963 0.755 0.208 Ho
0.115 0.615 0.500 Tc
0.326 0.000 0.326 Tc
0.674 0.000 0.674 Tc
0.885 0.385 0.500 Tc
0.000 0.000 0.000 Sn
0.500 0.500 0.000 Sn
```

Space group: No. 71
Energy of formation from the pure elements: -0.2742 eV/atom

# 3
# ZnAgPt2

A relaxed structure of ZnAgPt2 (GGA-PBE, the Alexandria database).

```
ZnAgPt2
1.0
1.422 0.821 8.961
-1.422 0.821 8.961
0.000 -1.642 8.961
Zn Ag Pt
1 1 2
direct
0.000 0.000 0.000 Zn
0.500 0.500 0.500 Ag
0.256 0.256 0.256 Pt
0.744 0.744 0.744 Pt
```

Space group: No. 166
Energy of formation from the pure elements: -0.2824 eV/atom

Final energy for the records above, in order: -3.71 -6.07 -4.33 eV per atom